RbAgS2O6 PBE optimized geometry; M_tot = 0.000 μB/atom; density of states at the Fermi level = 0.269 states/eV/atom; space-group type = C2/c; energy = -5.280 eV per atom
1.0
5.263 -5.321 0.000
5.263 5.321 0.000
-2.214 0.000 6.247
Rb Ag S O
2 2 4 12
direct
0.193 0.807 0.750 Rb
0.807 0.193 0.250 Rb
0.398 0.602 0.250 Ag
0.602 0.398 0.750 Ag
0.140 0.307 0.787 S
0.307 0.140 0.287 S
0.693 0.860 0.713 S
0.860 0.693 0.213 S
0.039 0.613 0.286 O
0.153 0.184 0.118 O
0.184 0.153 0.618 O
0.297 0.456 0.872 O
0.387 0.961 0.214 O
0.456 0.297 0.372 O
0.544 0.703 0.628 O
0.613 0.039 0.786 O
0.703 0.544 0.128 O
0.816 0.847 0.382 O
0.847 0.816 0.882 O
0.961 0.387 0.714 O